No. 1
10
Lattice="-3.865 3.865 5.820 3.865 -3.865 5.820 3.865 3.865 -5.820" Properties=species:S:1:pos:R:3 comment="Cs2HgBr6N PBE optimized geometry" m_tot_mub_per_fu=1.0 spacegroup="I4/mmm, No. 139" dft_energy_ev_per_atom=-2.479 volume_a3_per_fu=347.7 mass_density_g_cm3=4.58 pbc="T T T"
Cs 3.865 0.000 2.910
Cs 0.000 3.865 2.910
Hg 0.000 0.000 0.000
Br 0.000 0.000 2.523
Br 2.209 2.209 0.000
Br 1.656 -1.656 5.820
Br -1.656 1.656 5.820
Br 1.656 1.656 5.820
Br 0.000 0.000 9.117
N 0.000 0.000 5.820


No. 2
8
Lattice="5.309 0.000 0.000 -2.655 4.598 0.000 0.000 0.000 5.145" Properties=species:S:1:pos:R:3 comment="Ga3Rh PBE optimized geometry" m_tot_mub_per_fu=0.0 spacegroup="P6_3/mmc, No. 194" dft_energy_ev_per_atom=-4.340 volume_a3_per_fu=62.8 mass_density_g_cm3=8.25 formation_enthalpy_0k_ev_per_atom=-0.2324 pbc="T T T"
Ga 0.000 1.566 1.286
Ga -1.298 3.815 1.286
Ga 1.356 0.783 3.859
Ga 1.298 3.815 1.286
Ga 3.953 0.783 3.859
Ga 2.655 3.032 3.859
Rh 0.000 3.065 3.859
Rh 2.655 1.533 1.286


No. 3
5
Lattice="5.013 0.000 0.000 0.000 5.013 0.000 0.000 0.000 4.863" Properties=species:S:1:pos:R:3 comment="YAsRuBr2 PBE optimized geometry" m_tot_mub_per_fu=0.0 spacegroup="P4/mmm, No. 123" dft_energy_ev_per_atom=-4.826 volume_a3_per_fu=122.2 mass_density_g_cm3=5.77 pbc="T T T"
Y 0.000 0.000 0.000
As 2.506 2.506 0.000
Ru 2.506 2.506 2.431
Br 0.000 2.506 2.431
Br 2.506 0.000 2.431